K3Er2FeO6 PBE with a Hubbard U optimized geometry; crystal system = monoclinic; DFT total energy = -75.70 eV/cell; total moment = 4.92 μB per formula unit
1.0
2.894 -5.013 0.000
2.894 5.013 0.000
-1.923 0.000 6.210
K Er Fe O
3 2 1 6
Direct
0.000 0.000 0.000
0.337 0.663 0.000
0.663 0.337 0.000
0.167 0.833 0.500
0.833 0.167 0.500
0.500 0.500 0.500
0.124 0.440 0.319
0.244 0.244 0.681
0.440 0.124 0.319
0.560 0.876 0.681
0.756 0.756 0.319
0.876 0.560 0.681